(1)
Fe3Ni2Pt7: optimized geometry, GGA-PBE.

Summary:
- density of states at the Fermi level (states/eV/atom) = 1.0558
- ΔE_f (eV/atom) = 0.0025
- space-group type = No. 65
- total DFT energy (no corrections) (eV/atom) = -6.6005

Lattice parameters (Å, degrees): 12.702 12.702 3.808 90.00 90.00 162.24
Fractional coordinates of all 12 atoms:
Fe1 0.000 0.000 0.000
Fe2 0.154 0.846 0.000
Fe3 0.846 0.154 0.000
Ni1 0.349 0.651 0.500
Ni2 0.651 0.349 0.500
Pt1 0.079 0.921 0.500
Pt2 0.217 0.783 0.500
Pt3 0.420 0.580 0.000
Pt4 0.500 0.500 0.500
Pt5 0.580 0.420 0.000
Pt6 0.783 0.217 0.500
Pt7 0.921 0.079 0.500

=====

(2)
FeNi4Pt2: optimized geometry, GGA-PBE.

Summary:
- density of states at the Fermi level (states/eV/atom) = 1.0655
- ΔE_f (eV/atom) = 0.0589
- polymorph energy (0 for the lowest one) (eV/f.u.) = 0.00
- space-group type = No. 12
- total DFT energy (no corrections) (eV/atom) = -6.1796

Lattice parameters (Å, degrees): 4.812 4.812 9.302 97.44 97.44 119.39
Fractional coordinates of all 14 atoms:
Fe1 0.000 0.000 0.000
Fe2 0.000 0.000 0.500
Ni1 0.121 0.638 0.735
Ni2 0.157 0.157 0.775
Ni3 0.362 0.879 0.265
Ni4 0.367 0.367 0.239
Ni5 0.633 0.633 0.761
Ni6 0.638 0.121 0.735
Ni7 0.843 0.843 0.225
Ni8 0.879 0.362 0.265
Pt1 0.337 0.663 0.000
Pt2 0.338 0.662 0.500
Pt3 0.662 0.338 0.500
Pt4 0.663 0.337 0.000

=====

(3)
Fe3Ni3Pt5: optimized geometry, GGA-PBE.

Summary:
- density of states at the Fermi level (states/eV/atom) = 1.0510
- ΔE_f (eV/atom) = 0.1677
- space-group type = No. 189
- total DFT energy (no corrections) (eV/atom) = -6.4629

Lattice parameters (Å, degrees): 8.305 8.305 2.693 90.00 90.00 120.00
Fractional coordinates of all 11 atoms:
Fe1 0.000 0.603 0.000
Fe2 0.397 0.397 0.000
Fe3 0.603 0.000 0.000
Ni1 0.000 0.837 0.500
Ni2 0.163 0.163 0.500
Ni3 0.837 0.000 0.500
Pt1 0.000 0.342 0.500
Pt2 0.333 0.667 0.500
Pt3 0.342 0.000 0.500
Pt4 0.658 0.658 0.500
Pt5 0.667 0.333 0.500

=====

(4)
FeNiPt: optimized geometry, GGA-PBE.

Summary:
- density of states at the Fermi level (states/eV/atom) = 0.4399
- ΔE_f (eV/atom) = 0.1489
- polymorph energy (0 for the lowest one) (eV/f.u.) = 0.98
- space-group type = No. 216
- total DFT energy (no corrections) (eV/atom) = -6.6127

Lattice parameters (Å, degrees): 3.998 3.998 3.998 60.00 60.00 60.00
Fractional coordinates of all 3 atoms:
Fe1 0.000 0.000 0.000
Ni1 0.750 0.750 0.750
Pt1 0.250 0.250 0.250

=====

(5)
Fe6NiPt5: optimized geometry, GGA-PBE.

Summary:
- density of states at the Fermi level (states/eV/atom) = 0.6700
- ΔE_f (eV/atom) = -0.2163
- space-group type = No. 71
- total DFT energy (no corrections) (eV/atom) = -7.4464

Lattice parameters (Å, degrees): 7.098 7.098 7.098 148.84 115.96 72.94
Fractional coordinates of all 12 atoms:
Fe1 0.084 0.336 0.747
Fe2 0.246 0.000 0.246
Fe3 0.411 0.664 0.747
Fe4 0.589 0.336 0.253
Fe5 0.754 0.000 0.754
Fe6 0.916 0.664 0.253
Ni1 0.000 0.500 0.500
Pt1 0.160 0.160 0.000
Pt2 0.331 0.831 0.500
Pt3 0.500 0.500 0.000
Pt4 0.669 0.169 0.500
Pt5 0.840 0.840 0.000

=====

(6)
FeNi2Pt4: optimized geometry, GGA-PBE.

Summary:
- density of states at the Fermi level (states/eV/atom) = 1.3488
- ΔE_f (eV/atom) = 0.0803
- polymorph energy (0 for the lowest one) (eV/f.u.) = 0.00
- space-group type = No. 12
- total DFT energy (no corrections) (eV/atom) = -6.2324

Lattice parameters (Å, degrees): 4.968 4.968 4.629 91.22 91.22 114.44
Fractional coordinates of all 7 atoms:
Fe1 0.000 0.000 0.000
Ni1 0.413 0.413 0.737
Ni2 0.587 0.587 0.263
Pt1 0.000 0.500 0.000
Pt2 0.177 0.823 0.500
Pt3 0.500 0.000 0.000
Pt4 0.823 0.177 0.500

=====

(7)
Fe3NiPt2: optimized geometry, GGA-PBE.

Summary:
- density of states at the Fermi level (states/eV/atom) = 0.6016
- ΔE_f (eV/atom) = -0.1295
- space-group type = No. 2
- total DFT energy (no corrections) (eV/atom) = -7.3380

Lattice parameters (Å, degrees): 2.674 4.576 6.687 95.56 101.47 90.08
Fractional coordinates of all 6 atoms:
Fe1 0.000 0.000 0.000
Fe2 0.156 0.376 0.317
Fe3 0.844 0.624 0.683
Ni1 0.500 0.500 0.000
Pt1 0.339 0.127 0.676
Pt2 0.661 0.873 0.324

=====

(8)
Fe2NiPt: optimized geometry, GGA-PBE.

Summary:
- density of states at the Fermi level (states/eV/atom) = 0.8479
- ΔE_f (eV/atom) = -0.1109
- space-group type = No. 8
- total DFT energy (no corrections) (eV/atom) = -7.2977

Lattice parameters (Å, degrees): 4.510 4.510 4.544 100.96 100.96 34.51
Fractional coordinates of all 4 atoms:
Fe1 0.000 0.000 0.000
Fe2 0.747 0.747 0.263
Ni1 0.493 0.493 0.480
Pt1 0.246 0.246 0.757

=====

(9)
Fe4NiPt: optimized geometry, GGA-PBE.

Summary:
- density of states at the Fermi level (states/eV/atom) = 0.6205
- ΔE_f (eV/atom) = 0.0193
- polymorph energy (0 for the lowest one) (eV/f.u.) = 0.33
- space-group type = No. 216
- total DFT energy (no corrections) (eV/atom) = -7.5928

Lattice parameters (Å, degrees): 4.709 4.709 4.709 60.00 60.00 60.00
Fractional coordinates of all 6 atoms:
Fe1 0.376 0.376 0.376
Fe2 0.376 0.376 0.873
Fe3 0.376 0.873 0.376
Fe4 0.873 0.376 0.376
Ni1 0.750 0.750 0.750
Pt1 0.000 0.000 0.000

=====

(10)
FeNi5Pt4: optimized geometry, GGA-PBE.

Summary:
- density of states at the Fermi level (states/eV/atom) = 1.4159
- ΔE_f (eV/atom) = 0.0548
- polymorph energy (0 for the lowest one) (eV/f.u.) = 1.83
- space-group type = No. 59
- total DFT energy (no corrections) (eV/atom) = -6.0984

Lattice parameters (Å, degrees): 8.006 8.263 4.142 90.00 90.00 90.00
Fractional coordinates of all 20 atoms:
Fe1 0.250 0.250 0.250
Fe2 0.750 0.750 0.750
Ni1 0.028 0.571 0.750
Ni2 0.028 0.929 0.750
Ni3 0.250 0.750 0.746
Ni4 0.472 0.571 0.750
Ni5 0.472 0.929 0.750
Ni6 0.528 0.071 0.250
Ni7 0.528 0.429 0.250
Ni8 0.750 0.250 0.254
Ni9 0.972 0.071 0.250
Ni10 0.972 0.429 0.250
Pt1 0.055 0.250 0.750
Pt2 0.250 0.572 0.247
Pt3 0.250 0.928 0.247
Pt4 0.445 0.250 0.750
Pt5 0.555 0.750 0.250
Pt6 0.750 0.072 0.753
Pt7 0.750 0.428 0.753
Pt8 0.945 0.750 0.250

=====

(11)
FeNi5Pt: optimized geometry, GGA-PBE.

Summary:
- density of states at the Fermi level (states/eV/atom) = 1.3852
- ΔE_f (eV/atom) = 0.2155
- polymorph energy (0 for the lowest one) (eV/f.u.) = 1.03
- space-group type = No. 44
- total DFT energy (no corrections) (eV/atom) = -5.9859

Lattice parameters (Å, degrees): 5.306 5.306 5.306 129.49 127.57 75.78
Fractional coordinates of all 7 atoms:
Fe1 0.000 0.000 0.000
Ni1 0.329 0.083 0.754
Ni2 0.329 0.575 0.246
Ni3 0.377 0.619 0.758
Ni4 0.574 0.074 0.500
Ni5 0.862 0.619 0.242
Pt1 0.854 0.354 0.500

=====

(12)
Fe4NiPt4: optimized geometry, GGA-PBE.

Summary:
- density of states at the Fermi level (states/eV/atom) = 1.1189
- ΔE_f (eV/atom) = -0.1533
- space-group type = No. 139
- total DFT energy (no corrections) (eV/atom) = -7.2416

Lattice parameters (Å, degrees): 6.083 6.083 6.083 95.26 95.26 144.76
Fractional coordinates of all 9 atoms:
Fe1 0.000 0.337 0.337
Fe2 0.000 0.663 0.663
Fe3 0.337 0.000 0.337
Fe4 0.663 0.000 0.663
Ni1 0.000 0.000 0.000
Pt1 0.335 0.335 0.670
Pt2 0.335 0.665 0.000
Pt3 0.665 0.335 0.000
Pt4 0.665 0.665 0.330

=====

(13)
FeNiPt: optimized geometry, GGA-PBE.

Summary:
- density of states at the Fermi level (states/eV/atom) = 0.9909
- ΔE_f (eV/atom) = -0.1050
- polymorph energy (0 for the lowest one) (eV/f.u.) = 0.22
- space-group type = No. 8
- total DFT energy (no corrections) (eV/atom) = -6.8666

Lattice parameters (Å, degrees): 5.018 5.018 6.283 103.63 103.63 30.86
Fractional coordinates of all 6 atoms:
Fe1 0.000 0.000 0.000
Fe2 0.723 0.723 0.951
Ni1 0.061 0.061 0.621
Ni2 0.388 0.388 0.271
Pt1 0.341 0.341 0.677
Pt2 0.662 0.662 0.327

=====

(14)
Fe2Ni5Pt: optimized geometry, GGA-PBE.

Summary:
- density of states at the Fermi level (states/eV/atom) = 1.2308
- ΔE_f (eV/atom) = -0.0230
- polymorph energy (0 for the lowest one) (eV/f.u.) = 0.89
- space-group type = No. 71
- total DFT energy (no corrections) (eV/atom) = -6.5071

Lattice parameters (Å, degrees): 6.295 6.295 6.295 156.55 103.55 81.27
Fractional coordinates of all 8 atoms:
Fe1 0.246 0.246 0.000
Fe2 0.754 0.754 0.000
Ni1 0.142 0.870 0.272
Ni2 0.403 0.130 0.272
Ni3 0.500 0.500 0.000
Ni4 0.597 0.870 0.728
Ni5 0.858 0.130 0.728
Pt1 0.000 0.500 0.500

=====

(15)
Fe3NiPt3: optimized geometry, GGA-PBE.

Summary:
- density of states at the Fermi level (states/eV/atom) = 0.7610
- ΔE_f (eV/atom) = -0.0344
- space-group type = No. 62
- total DFT energy (no corrections) (eV/atom) = -7.0760

Lattice parameters (Å, degrees): 10.852 3.689 10.011 90.00 90.00 90.00
Fractional coordinates of all 28 atoms:
Fe1 0.046 0.250 0.065
Fe2 0.083 0.250 0.561
Fe3 0.170 0.750 0.376
Fe4 0.330 0.250 0.876
Fe5 0.417 0.750 0.061
Fe6 0.454 0.750 0.565
Fe7 0.546 0.250 0.435
Fe8 0.583 0.250 0.939
Fe9 0.670 0.750 0.124
Fe10 0.830 0.250 0.624
Fe11 0.917 0.750 0.439
Fe12 0.954 0.750 0.935
Ni1 0.105 0.250 0.824
Ni2 0.395 0.750 0.324
Ni3 0.605 0.250 0.676
Ni4 0.895 0.750 0.176
Pt1 0.017 0.250 0.307
Pt2 0.193 0.750 0.986
Pt3 0.239 0.750 0.696
Pt4 0.261 0.250 0.196
Pt5 0.307 0.250 0.486
Pt6 0.483 0.750 0.807
Pt7 0.517 0.250 0.193
Pt8 0.693 0.750 0.514
Pt9 0.739 0.750 0.804
Pt10 0.761 0.250 0.304
Pt11 0.807 0.250 0.014
Pt12 0.983 0.750 0.693

=====

(16)
Fe4Ni3Pt12: optimized geometry, GGA-PBE.

Summary:
- density of states at the Fermi level (states/eV/atom) = 1.0255
- ΔE_f (eV/atom) = 0.3709
- space-group type = No. 204
- total DFT energy (no corrections) (eV/atom) = -6.1388

Lattice parameters (Å, degrees): 8.020 8.020 8.020 109.47 109.47 109.47
Fractional coordinates of all 19 atoms:
Fe1 0.000 0.000 0.500
Fe2 0.000 0.500 0.000
Fe3 0.500 0.000 0.000
Fe4 0.500 0.500 0.500
Ni1 0.000 0.500 0.500
Ni2 0.500 0.000 0.500
Ni3 0.500 0.500 0.000
Pt1 0.087 0.356 0.731
Pt2 0.269 0.626 0.356
Pt3 0.269 0.913 0.644
Pt4 0.356 0.269 0.626
Pt5 0.356 0.731 0.087
Pt6 0.374 0.644 0.731
Pt7 0.626 0.356 0.269
Pt8 0.644 0.269 0.913
Pt9 0.644 0.731 0.374
Pt10 0.731 0.087 0.356
Pt11 0.731 0.374 0.644
Pt12 0.913 0.644 0.269

=====

(17)
FeNi2Pt: optimized geometry, GGA-PBE.

Summary:
- density of states at the Fermi level (states/eV/atom) = 1.4181
- ΔE_f (eV/atom) = -0.0399
- space-group type = No. 166
- total DFT energy (no corrections) (eV/atom) = -6.5564

Lattice parameters (Å, degrees): 8.435 8.435 8.435 18.10 18.10 18.10
Fractional coordinates of all 4 atoms:
Fe1 0.000 0.000 0.000
Ni1 0.255 0.255 0.255
Ni2 0.745 0.745 0.745
Pt1 0.500 0.500 0.500

=====

(18)
Fe2Ni5Pt2: optimized geometry, GGA-PBE.

Summary:
- density of states at the Fermi level (states/eV/atom) = 1.3141
- ΔE_f (eV/atom) = -0.0187
- polymorph energy (0 for the lowest one) (eV/f.u.) = 0.41
- space-group type = No. 2
- total DFT energy (no corrections) (eV/atom) = -6.4536

Lattice parameters (Å, degrees): 4.865 6.966 7.023 77.75 74.81 87.93
Fractional coordinates of all 18 atoms:
Fe1 0.007 0.363 0.428
Fe2 0.477 0.836 0.612
Fe3 0.523 0.164 0.388
Fe4 0.993 0.637 0.572
Ni1 0.117 0.230 0.738
Ni2 0.190 0.547 0.851
Ni3 0.228 0.899 0.943
Ni4 0.328 0.561 0.152
Ni5 0.396 0.850 0.266
Ni6 0.604 0.150 0.734
Ni7 0.672 0.439 0.848
Ni8 0.772 0.101 0.057
Ni9 0.810 0.453 0.149
Ni10 0.883 0.770 0.262
Pt1 0.000 0.000 0.500
Pt2 0.247 0.207 0.100
Pt3 0.500 0.500 0.500
Pt4 0.753 0.793 0.900

=====

(19)
FeNi6Pt5: optimized geometry, GGA-PBE.

Summary:
- density of states at the Fermi level (states/eV/atom) = 1.4490
- ΔE_f (eV/atom) = -0.1194
- space-group type = No. 71
- total DFT energy (no corrections) (eV/atom) = -6.2323

Lattice parameters (Å, degrees): 7.023 7.023 7.023 148.64 117.18 71.90
Fractional coordinates of all 12 atoms:
Fe1 0.000 0.000 0.000
Ni1 0.082 0.835 0.247
Ni2 0.246 0.500 0.746
Ni3 0.412 0.165 0.247
Ni4 0.588 0.835 0.753
Ni5 0.754 0.500 0.254
Ni6 0.918 0.165 0.753
Pt1 0.160 0.660 0.500
Pt2 0.333 0.333 0.000
Pt3 0.500 0.000 0.500
Pt4 0.667 0.667 0.000
Pt5 0.840 0.340 0.500

=====

(20)
Fe2Ni2Pt3: optimized geometry, GGA-PBE.

Summary:
- density of states at the Fermi level (states/eV/atom) = 1.0996
- ΔE_f (eV/atom) = 0.0129
- space-group type = No. 10
- total DFT energy (no corrections) (eV/atom) = -6.6458

Lattice parameters (Å, degrees): 2.659 2.678 13.865 90.00 95.44 90.00
Fractional coordinates of all 7 atoms:
Fe1 0.140 0.000 0.277
Fe2 0.860 0.000 0.723
Ni1 0.419 0.500 0.841
Ni2 0.581 0.500 0.159
Pt1 0.000 0.500 0.000
Pt2 0.293 0.500 0.588
Pt3 0.707 0.500 0.412